Entry 1:
# PBE-GGA La8Ga2Os, relaxed
# Calculated volume = 29.6 Å³/atom
# Energy above the lowest structure with this stoichiometry = 8.1 kJ/mol of atoms
# Size of the total moment = 0.000 μB/atom
# Raw total energy = -5.323 eV per atom
data_La8Ga2Os
_symmetry_space_group_name_H-M 'I m m m'
_symmetry_Int_Tables_number 71
_symmetry_space_group_name_Hall '-I 2 2'
_cell_length_a 5.8786
_cell_length_b 7.3956
_cell_length_c 14.9557
_cell_angle_alpha 90.00
_cell_angle_beta 90.00
_cell_angle_gamma 90.00
loop_
_atom_site_label
_atom_site_type_symbol
_atom_site_fract_x
_atom_site_fract_y
_atom_site_fract_z
_atom_site_occupancy
La1 La 0.0000 0.0000 0.1430 1
La2 La 0.0000 0.2332 0.3637 1
La3 La 0.0000 0.2799 0.0000 1
Ga1 Ga 0.0000 0.5000 0.1890 1
Os1 Os 0.0000 0.5000 0.5000 1

---

Entry 2:
# PBE-GGA Nd11Sm4Y9, relaxed
# Calculated volume = 34.2 Å³/atom
# Size of the total moment = 0.000 μB/atom
# Raw total energy = -5.345 eV per atom
data_Nd11Sm4Y9
_symmetry_space_group_name_H-M 'C m m m'
_symmetry_Int_Tables_number 65
_symmetry_space_group_name_Hall '-C 2 2'
_cell_length_a 17.0838
_cell_length_b 25.7838
_cell_length_c 3.7237
_cell_angle_alpha 90.00
_cell_angle_beta 90.00
_cell_angle_gamma 90.00
loop_
_atom_site_label
_atom_site_type_symbol
_atom_site_fract_x
_atom_site_fract_y
_atom_site_fract_z
_atom_site_occupancy
Nd1 Nd 0.0000 0.0000 0.0000 1
Nd2 Nd 0.0000 0.1595 0.0000 1
Nd3 Nd 0.0000 0.3672 0.0000 1
Nd4 Nd 0.2085 0.5000 0.0000 1
Nd5 Nd 0.2263 0.1810 0.0000 1
Sm1 Sm 0.1554 0.3992 0.5000 1
Y1 Y 0.0000 0.5000 0.5000 1
Y2 Y 0.1016 0.2653 0.5000 1
Y3 Y 0.1394 0.0731 0.5000 1

---

Entry 3:
# PBE-GGA LiAcCuAs, relaxed
# Calculated volume = 23.5 Å³/atom
# Size of the total moment = 0.000 μB/atom
# Raw total energy = -4.184 eV per atom
data_LiAcCuAs
_symmetry_space_group_name_H-M 'F -4 3 m'
_symmetry_Int_Tables_number 216
_symmetry_space_group_name_Hall 'F -4 2 3'
_cell_length_a 7.2220
_cell_length_b 7.2220
_cell_length_c 7.2220
_cell_angle_alpha 90.00
_cell_angle_beta 90.00
_cell_angle_gamma 90.00
loop_
_atom_site_label
_atom_site_type_symbol
_atom_site_fract_x
_atom_site_fract_y
_atom_site_fract_z
_atom_site_occupancy
Li1 Li 0.0000 0.0000 0.0000 1
Ac1 Ac 0.0000 0.0000 0.5000 1
Cu1 Cu 0.2500 0.2500 0.2500 1
As1 As 0.2500 0.2500 0.7500 1

---

Entry 4:
# PBE-GGA K2AlPt, relaxed
# Calculated volume = 32.1 Å³/atom
# Size of the total moment = 0.000 μB/atom
# Raw total energy = -3.152 eV per atom
data_K2AlPt
_symmetry_space_group_name_H-M 'I m m 2'
_symmetry_Int_Tables_number 44
_cell_length_a 3.9903
_cell_length_b 5.7017
_cell_length_c 11.2709
_cell_angle_alpha 90.00
_cell_angle_beta 90.00
_cell_angle_gamma 90.00
loop_
_symmetry_equiv_pos_as_xyz
'x,y,z'
'-x,-y,z'
'-x,y,z'
'x,-y,z'
'x+1/2,y+1/2,z+1/2'
'-x+1/2,-y+1/2,z+1/2'
'-x+1/2,y+1/2,z+1/2'
'x+1/2,-y+1/2,z+1/2'
loop_
_atom_site_label
_atom_site_type_symbol
_atom_site_fract_x
_atom_site_fract_y
_atom_site_fract_z
_atom_site_occupancy
K1 K 0.0000 0.0000 0.0000 1
K2 K 0.0000 0.5000 0.1935 1
Al1 Al 0.0000 0.0000 0.3919 1
Pt1 Pt 0.0000 0.5000 0.7761 1